## Th6SnTe3As2 (PBE)

Data for a relaxed Th6SnTe3As2 crystal.

abc: 9.926 9.926 8.853
angles: 104.04 104.04 25.65
Atoms (fractional coordinates):
Th1 0.013 0.013 0.253
Th2 0.327 0.327 0.435
Th3 0.332 0.332 0.890
Th4 0.668 0.668 0.110
Th5 0.673 0.673 0.565
Th6 0.987 0.987 0.747
Sn1 0.500 0.500 0.000
Te1 0.161 0.161 0.833
Te2 0.500 0.500 0.500
Te3 0.839 0.839 0.167
As1 0.170 0.170 0.337
As2 0.830 0.830 0.663

Values from the calculation:
As for the formation energy from raw total energies: -1258 kJ/mol of formula units. The density of states at the Fermi level comes out at 9.42 states/eV/cell. The calculation puts the theoretical density at 9.28 g/cm³.